La4AsPtI2 (PBE, optimized geometry); E = -5.46 eV/atom; raw formation energy = -1273 meV per atom; space group = No. 10; volume = 261.3 Å³/f.u.
1.0
-3.020 3.020 0.009
-0.163 -0.185 7.857
5.552 5.557 -2.185
La As Pt I
4 1 1 2
Cartesian
-0.395 2.621 1.380
2.764 5.771 4.300
4.422 4.419 0.457
0.967 0.952 5.215
0.000 0.000 0.000
-1.591 1.417 3.933
1.266 4.289 -1.088
2.694 2.686 2.836

---

Li2PuAu3 (PBE, optimized geometry); energy above the most stable polymorph in this dataset = 52 meV/atom; E = -5.12 eV/atom; DFT formation energy = -0.458 eV per atom; space group = No. 194; volume = 116.7 Å³/f.u.
1.0
4.500 0.000 0.000
-2.250 3.897 0.000
0.000 0.000 13.303
Li Pu Au
4 2 6
Cartesian
2.250 1.299 5.740
0.000 2.598 7.563
0.000 2.598 12.391
2.250 1.299 0.912
0.000 0.000 3.326
0.000 0.000 9.977
0.000 0.000 6.651
0.000 0.000 0.000
2.250 1.299 8.364
0.000 2.598 1.712
2.250 1.299 11.590
0.000 2.598 4.939

---

KRb6S (PBE, optimized geometry); E = -1.68 eV/atom; raw formation energy = -299 meV per atom; space group = No. 38; volume = 564.8 Å³/f.u.
1.0
4.860 0.000 0.000
0.000 10.749 -1.330
0.000 -0.132 10.828
K Rb S
1 6 1
Cartesian
0.000 1.508 8.995
0.000 5.347 7.637
0.000 2.434 5.031
0.000 6.862 3.012
2.430 9.909 5.556
2.430 3.996 0.267
2.430 9.609 -0.056
2.430 2.801 7.551

---

PrAlCuNi (PBE, optimized geometry); energy above the most stable polymorph in this dataset = 0 meV/atom; E = -5.01 eV/atom; DFT formation energy = -0.410 eV per atom; space group = No. 160; volume = 75.6 Å³/f.u.
1.0
4.246 0.000 0.000
-2.123 3.681 0.000
0.000 -2.448 4.836
Pr Al Cu Ni
1 1 1 1
Cartesian
2.123 -0.346 2.365
0.000 0.878 0.061
0.000 0.884 4.302
2.123 2.106 0.369